The following is a DFT calculation (PBE) of a relaxed structure of K2ZrNi.

Summary:
* calculated volume: 25.8 Å³ per atom
* energy of formation: 0.8966 eV/atom
* space group: Pmmm (47)
* DOS at the Fermi energy: 3.6 states/eV/cell
* energy above the most stable polymorph in this dataset: 0.585 eV per atom
* calculated density: 3.7 g/cm³

```
data_K2ZrNi
_chemical_formula_sum 'K2 Zr1 Ni1'
_cell_length_a 3.981
_cell_length_b 4.179
_cell_length_c 6.209
_cell_angle_alpha 90.00
_cell_angle_beta 90.00
_cell_angle_gamma 90.00
_space_group_name_H-M_alt 'P 1'
_space_group_IT_number 1
loop_
_space_group_symop_operation_xyz
'x,y,z'
loop_
_atom_site_label
_atom_site_fract_x
_atom_site_fract_y
_atom_site_fract_z
_atom_site_occupancy
K1 0.000 0.000 0.000 1
K2 0.500 0.500 0.000 1
Zr1 0.000 0.500 0.500 1
Ni1 0.500 0.000 0.500 1
```